<A>
The following is a PBE calculation of a relaxed Ce2RhC crystal, from Alexandria.

Structure (extended XYZ):
```
4
Lattice="3.2192 0.0000 0.0000 0.0000 3.2192 0.0000 0.0000 0.0000 6.8115" Properties=species:S:1:pos:R:3 pbc="T T T"
Ce 0.0000 0.0000 1.3945
Ce 0.0000 0.0000 5.4170
Rh 1.6096 1.6096 3.4057
C 1.6096 1.6096 0.0000
```

Its space group is P4/mmm, No. 123. Its total moment is 0.44 μB per formula unit.

---

<B>
The following is a PBE calculation of a relaxed Ce2RhC crystal, from Alexandria.

Structure (extended XYZ):
```
4
Lattice="1.7080 0.9861 7.9978 -1.7080 0.9861 7.9978 0.0000 -1.9723 7.9978" Properties=species:S:1:pos:R:3 pbc="T T T"
Ce 0.0000 0.0000 2.5114
Ce 0.0000 0.0000 21.4820
Rh 0.0000 0.0000 0.0000
C 0.0000 0.0000 11.9967
```

Its space group is R-3m, No. 166. Its total moment is 0.00 μB per formula unit.

---

<A> comes first in stability; the runner-up is 141 meV/atom higher.

---

<A>
The following is a PBE calculation of a relaxed CeRu2C crystal, from Alexandria.

Structure (extended XYZ):
```
4
Lattice="1.5133 0.8737 7.5722 -1.5133 0.8737 7.5722 0.0000 -1.7474 7.5722" Properties=species:S:1:pos:R:3 pbc="T T T"
Ce 0.0000 0.0000 0.0000
Ru 0.0000 0.0000 4.9296
Ru 0.0000 0.0000 17.7869
C 0.0000 0.0000 11.3582
```

Its space group is R-3m, No. 166. Its total moment is 0.00 μB per formula unit.

---

<B>
The following is a PBE calculation of a relaxed CeRu2C crystal, from Alexandria.

Structure (extended XYZ):
```
4
Lattice="2.5091 -3.9596 0.0000 2.5091 3.9596 0.0000 0.0000 0.0000 3.1755" Properties=species:S:1:pos:R:3 pbc="T T T"
Ce 0.0000 0.0000 0.0000
Ru 2.5091 1.2944 1.5877
Ru 2.5091 -1.2944 1.5877
C 2.5091 0.0000 0.0000
```

Its space group is Cmmm, No. 65. Its total moment is 0.00 μB per formula unit.

---

<B> comes first in stability; the runner-up is 269 meV/atom higher.

---

<A>
The following is a PBE calculation of a relaxed Ce4Si2C crystal, from Alexandria.

Structure (extended XYZ):
```
7
Lattice="-2.3850 2.3850 7.6095 2.3850 -2.3850 7.6095 2.3850 2.3850 -7.6095" Properties=species:S:1:pos:R:3 pbc="T T T"
Ce 2.3850 0.0000 0.0000
Ce 0.0000 0.0000 2.5833
Ce 0.0000 2.3850 0.0000
Ce 0.0000 0.0000 12.6358
Si 0.0000 0.0000 5.5771
Si 0.0000 0.0000 9.6420
C 0.0000 0.0000 0.0000
```

Its space group is I4/mmm, No. 139. Its total moment is 2.05 μB per formula unit.

---

<B>
The following is a PBE calculation of a relaxed Ce4Si2C crystal, from Alexandria.

Structure (extended XYZ):
```
7
Lattice="6.5948 0.0000 0.0000 0.0000 3.6280 0.0000 -2.3061 0.0000 7.0804" Properties=species:S:1:pos:R:3 pbc="T T T"
Ce -0.0843 0.0000 2.1454
Ce 0.9140 1.8140 4.9657
Ce 3.3747 1.8140 2.1148
Ce 4.3729 0.0000 4.9350
Si 2.1279 0.0000 0.0298
Si 2.1608 0.0000 7.0507
C -1.1531 1.8140 3.5402
```

Its space group is P2/m, No. 10. Its total moment is 2.27 μB per formula unit.

---

<A> comes first in stability; the runner-up is 131 meV/atom higher.

---

<A>
The following is a PBE calculation of a relaxed CeSmC crystal, from Alexandria.

Structure (extended XYZ):
```
6
Lattice="2.1859 1.2620 7.2178 -2.1859 1.2620 7.2178 0.0000 -2.5240 7.2178" Properties=species:S:1:pos:R:3 pbc="T T T"
Ce 0.0000 0.0000 2.8751
Ce 0.0000 0.0000 18.7784
Sm 0.0000 0.0000 8.1750
Sm 0.0000 0.0000 13.4784
C 0.0000 0.0000 0.0000
C 0.0000 0.0000 10.8267
```

Its space group is R-3m, No. 166. Its total moment is 0.00 μB per formula unit.

---

<B>
The following is a PBE calculation of a relaxed CeSmC crystal, from Alexandria.

Structure (extended XYZ):
```
3
Lattice="3.5409 0.0000 0.0000 0.0000 1.6468 5.8292 0.0000 -1.6468 5.8292" Properties=species:S:1:pos:R:3 pbc="T T T"
Ce 0.0000 0.0000 0.0000
Sm 1.7705 0.0000 8.9282
C 1.7705 0.0000 5.0664
```

Its space group is Amm2, No. 38. Its total moment is 0.00 μB per formula unit.

---

<C>
The following is a PBE calculation of a relaxed CeSmC crystal, from Alexandria.

Structure (extended XYZ):
```
3
Lattice="3.5865 0.0000 0.0000 -1.7933 3.1060 0.0000 0.0000 0.0000 6.4968" Properties=species:S:1:pos:R:3 pbc="T T T"
Ce 0.0000 0.0000 0.0000
Sm 1.7933 1.0353 3.6798
C 0.0000 2.0707 5.1695
```

Its space group is P3m1, No. 156. Its total moment is 0.81 μB per formula unit.

---

<C> comes first in stability; the runner-up is 224 meV/atom higher.

---

<A>
The following is a PBE calculation of a relaxed CeSmC crystal, from Alexandria.

Structure (extended XYZ):
```
3
Lattice="3.1132 -1.7975 0.0000 3.1132 1.7975 0.0000 -2.0479 0.0000 6.4873" Properties=species:S:1:pos:R:3 pbc="T T T"
Ce 0.0000 0.0000 0.0000
Sm 2.0756 0.0000 2.8136
C 4.1511 0.0000 1.3388
```

Its space group is Cm, No. 8. Its total moment is 0.91 μB per formula unit.

---

<B>
The following is a PBE calculation of a relaxed CeSmC crystal, from Alexandria.

Structure (extended XYZ):
```
3
Lattice="-1.6061 1.6061 6.1320 1.6061 -1.6061 6.1320 1.6061 1.6061 -6.1320" Properties=species:S:1:pos:R:3 pbc="T T T"
Ce 0.0000 0.0000 0.0000
Sm 0.0000 0.0000 2.7990
C 0.0000 0.0000 7.4607
```

Its space group is I4mm, No. 107. Its total moment is 0.00 μB per formula unit.

---

<A> comes first in stability; the runner-up is 361 meV/atom higher.

---

<A>
The following is a PBE calculation of a relaxed Ce3SnC crystal, from Alexandria.

Structure (extended XYZ):
```
5
Lattice="5.8433 0.0000 0.0000 0.0000 5.8433 0.0000 0.0000 0.0000 5.8433" Properties=species:S:1:pos:R:3 pbc="T T T"
Ce 0.0000 0.0000 2.9216
Ce 0.0000 2.9216 0.0000
Ce 2.9216 0.0000 0.0000
Sn 0.0000 0.0000 0.0000
C 2.9216 2.9216 2.9216
```

Its space group is Pm-3m, No. 221. Its total moment is 3.75 μB per formula unit.

---

<B>
The following is a PBE calculation of a relaxed Ce3SnC crystal, from Alexandria.

Structure (extended XYZ):
```
5
Lattice="4.9708 0.0000 0.0000 0.0000 4.9708 0.0000 0.0000 0.0000 4.9708" Properties=species:S:1:pos:R:3 pbc="T T T"
Ce 0.0000 0.0000 2.4854
Ce 0.0000 2.4854 0.0000
Ce 2.4854 0.0000 0.0000
Sn 2.4854 2.4854 2.4854
C 0.0000 0.0000 0.0000
```

Its space group is Pm-3m, No. 221. Its total moment is 2.02 μB per formula unit.

---

<B> comes first in stability; the runner-up is 2127 meV/atom higher.